A relaxed structure of KVF4, computed with GGA+U.

Cell: 7.7360 7.9044 12.5341 Å, 90.00 90.00 90.00°
Closest atoms and distances in Å follow each position.
Positions (direct):
F1 0.2500 0.6693 0.2839  2 V 2.02
F2 0.0469 0.8656 0.5972  1 V 1.93
F3 0.7500 0.3307 0.7161  2 V 2.02
F4 0.9523 0.6247 0.7527  2 V 2.01
F5 0.7500 0.1693 0.2161  2 V 2.02
K1 0.7500 0.3759 0.4879  7 F 2.69-2.88
V1 0.5006 0.6252 0.2481  6 F 1.92-2.02
K2 0.2500 0.8759 0.0121  7 F 2.69-2.88
K3 0.7500 0.1241 0.9879  7 F 2.69-2.88
V2 0.5006 0.8748 0.7481  6 F 1.92-2.02
F6 0.4523 0.3753 0.2473  2 V 2.01
F7 0.0469 0.6344 0.0972  1 V 1.93
F8 0.5477 0.8753 0.2527  2 V 2.01
F9 0.2500 0.0808 0.2889  2 V 2.01
V3 0.0006 0.1252 0.2519  6 F 1.92-2.02
K4 0.2500 0.1258 0.5265  7 F 2.74-3.00
F10 0.5495 0.8850 0.8985  1 V 1.92
F11 0.4531 0.6344 0.0972  1 V 1.93
F12 0.2500 0.8307 0.7839  2 V 2.02
F13 0.5469 0.3656 0.9028  1 V 1.93
K5 0.2500 0.3742 0.0265  7 F 2.74-3.00
F14 0.4505 0.3850 0.6015  1 V 1.92
F15 0.0477 0.3753 0.2473  2 V 2.01
V4 0.0006 0.3748 0.7519  6 F 1.92-2.02
V5 0.4994 0.3748 0.7519  6 F 1.92-2.02
F16 0.9531 0.3656 0.9028  1 V 1.93
F17 0.9505 0.8850 0.8985  1 V 1.92
F18 0.9531 0.1344 0.4028  1 V 1.93
V6 0.9994 0.6252 0.2481  6 F 1.92-2.02
V7 0.9994 0.8748 0.7481  6 F 1.92-2.02
K6 0.7500 0.6258 0.9735  7 F 2.74-3.00
F19 0.5495 0.6150 0.3985  1 V 1.92
F20 0.0477 0.1247 0.7473  2 V 2.01
F21 0.9523 0.8753 0.2527  2 V 2.01
F22 0.4505 0.1150 0.1015  1 V 1.92
F23 0.0495 0.3850 0.6015  1 V 1.92
F24 0.4523 0.1247 0.7473  2 V 2.01
V8 0.4994 0.1252 0.2519  6 F 1.92-2.02
K7 0.2500 0.6241 0.5121  7 F 2.69-2.88
F25 0.4531 0.8656 0.5972  1 V 1.93
F26 0.5469 0.1344 0.4028  1 V 1.93
F27 0.5477 0.6247 0.7527  2 V 2.01
F28 0.7500 0.9192 0.7111  2 V 2.01
K8 0.7500 0.8742 0.4735  7 F 2.74-3.00
F29 0.9505 0.6150 0.3985  1 V 1.92
F30 0.2500 0.4192 0.7889  2 V 2.01
F31 0.0495 0.1150 0.1015  1 V 1.92
F32 0.7500 0.5808 0.2111  2 V 2.01

Summary:
Excess energy over the best structure of this formula in the dataset: 0.0000 eV per atom
SG: No. 62